(1)
Density functional theory data (GGA-PBE) for a relaxed TlGe2Au2 crystal.

Cell lengths 6.3083, 6.3083, 6.3083 Å; angles 136.76, 136.76, 62.81 degrees
Atoms (fractional coordinates):
Tl 0.0000 0.0000 0.0000
Ge 0.2500 0.7500 0.5000
Ge 0.7500 0.2500 0.5000
Au 0.3677 0.3677 0.0000
Au 0.6323 0.6323 0.0000

Summary:
- E_tot (eV per atom) = -3.58
- E_form (eV per atom) = 0.046
- E above lowest polymorph (eV/atom) = 0.030
- total magnetic moment (μB/cell) = 0.00

(2)
Density functional theory data (GGA-PBE) for a relaxed HfScTi2O crystal.

Cell lengths 4.2734, 4.2734, 4.4741 Å; angles 90.00, 90.00, 90.00 degrees
Atoms (fractional coordinates):
Hf 0.0000 0.0000 0.0000
Sc 0.5000 0.5000 0.0000
Ti 0.0000 0.5000 0.5000
Ti 0.5000 0.0000 0.5000
O 0.0000 0.0000 0.5000

Summary:
- E_tot (eV per atom) = -8.41
- uncorrected formation energy (eV/f.u.) = -5.02
- E above lowest polymorph (eV/atom) = 0.034
- total magnetic moment (μB/cell) = 0.00

(3)
Density functional theory data (GGA-PBE) for a relaxed ZnCrGa3 crystal.

Cell lengths 4.7042, 4.7042, 4.7042 Å; angles 90.00, 90.00, 90.00 degrees
Atoms (fractional coordinates):
Zn 0.0000 0.0000 0.0000
Cr 0.5000 0.5000 0.5000
Ga 0.0000 0.0000 0.5000
Ga 0.0000 0.5000 0.0000
Ga 0.5000 0.0000 0.0000

Summary:
- E_tot (eV per atom) = -2.90
- E_form (eV per atom) = 1.092
- E above lowest polymorph (eV/atom) = 0.654
- total magnetic moment (μB/cell) = 0.42

(4)
Density functional theory data (GGA-PBE) for a relaxed Nb2MoH6 crystal.

Cell lengths 5.5387, 5.5387, 3.1755 Å; angles 106.51, 106.51, 47.86 degrees
Atoms (fractional coordinates):
Nb 0.1649 0.1649 0.1652
Nb 0.8351 0.8351 0.8348
Mo 0.5000 0.5000 0.5000
H 0.0945 0.5771 0.3356
H 0.2593 0.7407 0.0000
H 0.4229 0.9055 0.6644
H 0.5771 0.0945 0.3356
H 0.7407 0.2593 0.0000
H 0.9055 0.4229 0.6644

Summary:
- E_tot (eV per atom) = -5.83
- total magnetic moment (μB/cell) = 0.00

(5)
Density functional theory data (GGA-PBE) for a relaxed YTmMg4 crystal.

Cell lengths 7.0226, 7.0226, 6.8064 Å; angles 103.98, 103.98, 28.36 degrees
Atoms (fractional coordinates):
Y 0.0000 0.0000 0.0000
Tm 0.0000 0.0000 0.5000
Mg 0.3248 0.3248 0.1636
Mg 0.3255 0.3255 0.6611
Mg 0.6745 0.6745 0.3389
Mg 0.6752 0.6752 0.8364

Summary:
- E_tot (eV per atom) = -2.93
- E_form (eV per atom) = -0.047
- E above lowest polymorph (eV/atom) = 0.022
- total magnetic moment (μB/cell) = 0.02